Entry 1:
Computed, not measured: a relaxed structure of Pr4Cd2InAu at the GGA-PBE level of DFT.

Space-group type ... No. 166
Final energy ... -3.83 eV per atom
Formation enthalpy at 0 K ... -0.455 eV/atom
Magnetization ... 0.65 μB per formula unit

a b c (Å): 5.4435 5.4435 9.4253
angles (deg): 73.22 73.22 60.00
Last column: magnetic moment on the atom in μB.
Atoms (fractional coordinates):
In 0.0000 0.0000 0.0000  0.00
Au 0.5000 0.5000 0.5000  0.02
Pr 0.3798 0.3798 0.8607  0.05
Pr 0.1290 0.1290 0.6131  0.11
Cd 0.7447 0.7447 0.7658  0.00
Pr 0.6202 0.6202 0.1393  0.05
Pr 0.8710 0.8710 0.3869  0.11
Cd 0.2553 0.2553 0.2342  0.00



Entry 2:
Computed, not measured: a relaxed structure of PrCdInAu at the GGA-PBE level of DFT.

Space-group type ... No. 216
Final energy ... -3.42 eV per atom
Formation enthalpy at 0 K ... -0.496 eV/atom
Magnetization ... 0.00 μB per formula unit

a b c (Å): 5.1438 5.1438 5.1438
angles (deg): 60.00 60.00 60.00
Atoms (fractional coordinates):
Au 0.2500 0.2500 0.2500
Pr 0.5000 0.5000 0.5000
Cd 0.7500 0.7500 0.7500
In 0.0000 0.0000 0.0000



Entry 3:
Computed, not measured: a relaxed structure of PuCd2In2Au2 at the GGA-PBE level of DFT.

Space-group type ... No. 166
Final energy ... -4.24 eV per atom
Formation enthalpy at 0 K ... -0.212 eV/atom
Magnetization ... 5.67 μB per formula unit

a b c (Å): 4.7928 4.7928 8.9821
angles (deg): 74.53 74.53 60.00
Last column: magnetic moment on the atom in μB.
Atoms (fractional coordinates):
Au 0.6064 0.6064 0.1808  0.01
Cd 0.8646 0.8646 0.4061  0.00
In 0.2543 0.2543 0.2370  0.01
In 0.7457 0.7457 0.7630  0.01
Cd 0.1354 0.1354 0.5939  0.00
Pu 0.0000 0.0000 0.0000  5.33
Au 0.3936 0.3936 0.8192  0.01



Entry 4:
Computed, not measured: a relaxed structure of PuCd2InAu4 at the GGA-PBE level of DFT.

Space-group type ... No. 166
Final energy ... -4.24 eV per atom
Formation enthalpy at 0 K ... -0.240 eV/atom
Magnetization ... 5.50 μB per formula unit

a b c (Å): 4.8087 4.8087 9.0351
angles (deg): 74.57 74.57 60.00
Last column: magnetic moment on the atom in μB.
Atoms (fractional coordinates):
Pu 0.0000 0.0000 0.0000  5.25
Cd 0.7496 0.7496 0.7513  0.00
Au 0.1243 0.1243 0.6271  0.01
Cd 0.2504 0.2504 0.2487  0.00
Au 0.8757 0.8757 0.3729  0.01
Au 0.6141 0.6141 0.1578  0.00
Au 0.3859 0.3859 0.8422  0.00
In 0.5000 0.5000 0.5000  0.00



Entry 5:
Computed, not measured: a relaxed structure of PuCdInAu at the GGA-PBE level of DFT.

Space-group type ... No. 216
Final energy ... -5.55 eV per atom
Formation enthalpy at 0 K ... -0.237 eV/atom
Magnetization ... 5.49 μB per formula unit

a b c (Å): 5.0826 5.0826 5.0826
angles (deg): 60.00 60.00 60.00
Last column: magnetic moment on the atom in μB.
Atoms (fractional coordinates):
Pu 0.0000 0.0000 0.0000  5.30
In 0.5000 0.5000 0.5000  -0.03
Cd 0.7500 0.7500 0.7500  0.02
Au 0.2500 0.2500 0.2500  -0.01



Entry 6:
Computed, not measured: a relaxed structure of Rb2CdIn4Au3 at the GGA-PBE level of DFT.

Space-group type ... No. 115
Final energy ... -2.59 eV per atom
Formation enthalpy at 0 K ... -0.227 eV/atom
Magnetization ... 0.00 μB per formula unit

a b c (Å): 5.0862 5.0862 11.1817
angles (deg): 90.00 90.00 90.00
Atoms (fractional coordinates):
Rb 0.5000 0.0000 0.2536
Rb 0.0000 0.5000 0.7464
Au 0.5000 0.0000 0.8800
In 0.0000 0.0000 0.0000
Au 0.0000 0.0000 0.5000
Au 0.0000 0.5000 0.1200
Cd 0.5000 0.5000 0.5000
In 0.5000 0.5000 0.0000
In 0.5000 0.0000 0.6286
In 0.0000 0.5000 0.3714



Entry 7:
Computed, not measured: a relaxed structure of RbCdInAu2 at the GGA-PBE level of DFT.

Space-group type ... No. 119
Final energy ... -2.49 eV per atom
Formation enthalpy at 0 K ... -0.252 eV/atom
Magnetization ... 0.00 μB per formula unit

a b c (Å): 4.7941 4.7941 6.9119
angles (deg): 110.29 110.29 90.00
Atoms (fractional coordinates):
Au 0.6165 0.6165 0.2330
Rb 0.0000 0.0000 0.0000
Cd 0.7500 0.2500 0.5000
In 0.2500 0.7500 0.5000
Au 0.3835 0.3835 0.7670



Entry 8:
Computed, not measured: a relaxed structure of Rb2CdIn3Au4 at the GGA-PBE level of DFT.

Space-group type ... No. 115
Final energy ... -2.69 eV per atom
Formation enthalpy at 0 K ... -0.273 eV/atom
Magnetization ... 0.00 μB per formula unit

a b c (Å): 5.0607 5.0607 10.9213
angles (deg): 90.00 90.00 90.00
Atoms (fractional coordinates):
Rb 0.0000 0.5000 0.7568
Au 0.5000 0.5000 0.0000
Rb 0.5000 0.0000 0.2432
Au 0.5000 0.0000 0.6261
Au 0.0000 0.0000 0.0000
In 0.5000 0.0000 0.8843
Cd 0.5000 0.5000 0.5000
In 0.0000 0.0000 0.5000
Au 0.0000 0.5000 0.3739
In 0.0000 0.5000 0.1157



Entry 9:
Computed, not measured: a relaxed structure of RbCd2InAu at the GGA-PBE level of DFT.

Excess energy over the best structure of this formula in the dataset ... 0 meV/atom
Space-group type ... No. 44
Final energy ... -1.93 eV per atom
Formation enthalpy at 0 K ... -0.166 eV/atom
Magnetization ... 0.00 μB per formula unit

a b c (Å): 4.8293 4.9975 7.0461
angles (deg): 110.77 110.04 90.00
Atoms (fractional coordinates):
Rb 0.4406 0.4406 0.8812
In 0.1981 0.6981 0.3962
Cd 0.0513 0.0513 0.1026
Cd 0.7008 0.2008 0.4016
Au 0.8213 0.8213 0.6427



Entry 10:
Computed, not measured: a relaxed structure of Rb2CdInAu at the GGA-PBE level of DFT.

Space-group type ... No. 123
Final energy ... -1.80 eV per atom
Formation enthalpy at 0 K ... -0.030 eV/atom
Magnetization ... 0.25 μB per formula unit

a b c (Å): 6.7360 6.7360 5.2386
angles (deg): 90.00 90.00 90.00
Atoms (fractional coordinates):
Au 0.0000 0.0000 0.0000
Cd 0.5000 0.5000 0.5000
In 0.0000 0.0000 0.5000
Rb 0.5000 0.0000 0.0000
Rb 0.0000 0.5000 0.0000



Entry 11:
Computed, not measured: a relaxed structure of RbCd2In4Au at the GGA-PBE level of DFT.

Space-group type ... No. 166
Final energy ... -2.21 eV per atom
Formation enthalpy at 0 K ... -0.084 eV/atom
Magnetization ... 0.00 μB per formula unit

a b c (Å): 4.9956 4.9956 11.3306
angles (deg): 77.26 77.26 60.00
Atoms (fractional coordinates):
Rb 0.0000 0.0000 0.0000
Cd 0.2430 0.2430 0.2711
Cd 0.7570 0.7570 0.7289
In 0.8648 0.8648 0.4055
Au 0.5000 0.5000 0.5000
In 0.5892 0.5892 0.2324
In 0.4108 0.4108 0.7676
In 0.1352 0.1352 0.5945



Entry 12:
Computed, not measured: a relaxed structure of Rb2Cd3InAu4 at the GGA-PBE level of DFT.

Space-group type ... No. 115
Final energy ... -2.28 eV per atom
Formation enthalpy at 0 K ... -0.229 eV/atom
Magnetization ... 0.00 μB per formula unit

a b c (Å): 4.9902 4.9902 11.2404
angles (deg): 90.00 90.00 90.00
Atoms (fractional coordinates):
Au 0.5000 0.0000 0.6246
Rb 0.0000 0.5000 0.7621
Cd 0.0000 0.5000 0.1245
Au 0.0000 0.0000 0.0000
Au 0.0000 0.5000 0.3754
Rb 0.5000 0.0000 0.2379
Cd 0.5000 0.0000 0.8755
Au 0.5000 0.5000 0.0000
In 0.5000 0.5000 0.5000
Cd 0.0000 0.0000 0.5000